# TlAgI2

A geometry-optimized TlAgI2 structure (PBE, Alexandria via LeMat-Bulk).

```
data_TlAgI2
_symmetry_space_group_name_H-M 'P 1'
_symmetry_Int_Tables_number 1
_cell_length_a 7.155
_cell_length_b 7.155
_cell_length_c 7.155
_cell_angle_alpha 107.46
_cell_angle_beta 107.46
_cell_angle_gamma 113.58
loop_
_symmetry_equiv_pos_as_xyz
'x,y,z'
loop_
_atom_site_label
_atom_site_fract_x
_atom_site_fract_y
_atom_site_fract_z
Tl1 0.250 0.250 0.000
Tl2 0.750 0.750 0.000
Ag1 0.250 0.750 0.500
Ag2 0.750 0.250 0.500
I1 0.178 0.678 0.856
I2 0.322 0.178 0.500
I3 0.678 0.822 0.500
I4 0.822 0.322 0.144
```

Summary:
DOS(E_F)	0.00	states/eV/cell
VASP energy	-10.0	eV/f.u.
ΔE_f (raw)	-429	meV/atom
size of the total moment	0.00	μB/f.u.